Entry 1:
The following is a DFT calculation (PBE) of a geometry-optimized MnRuN structure.

Results
For the volume, the calculation gives 14.160 A^3/atom. For the total magnetization, the calculation gives 0.000 μB per cell. As for the formation energy without anion corrections: 535 meV per atom.

a b c (Å): 2.633 22.711 2.841
angles (deg): 90.00 90.00 90.00
Space group Cmcm (No. 63)
One atom of each set of equivalent atoms:
Mn (0.000, 0.138, 0.250) (multiplicity 4)
Ru (0.000, 0.454, 0.750) (multiplicity 4)
N (0.000, 0.178, 0.750) (multiplicity 4)

***

Entry 2:
The following is a DFT calculation (PBE) of a geometry-optimized Ca2Zn9Ni6 structure.

Results
For the volume, the calculation gives 16.663 A^3/atom. For the total magnetization, the calculation gives 0.000 μB per cell. The formation enthalpy at 0 K is -153 meV per atom.

a b c (Å): 5.2968 5.2968 11.6588
angles (deg): 90.00 90.00 120.00
Space group P6/mmm (No. 191)
One atom of each set of equivalent atoms:
Ca (0.0000, 0.0000, 0.1731) (multiplicity 2)
Zn (0.0000, 0.5000, 0.0000) (multiplicity 3)
Zn (0.0000, 0.5000, 0.3374) (multiplicity 6)
Ni (0.3333, 0.6667, 0.1697) (multiplicity 4)
Ni (0.3333, 0.6667, 0.5000) (multiplicity 2)

***

Entry 3:
The following is a DFT calculation (PBE) of a geometry-optimized KTiZn3 structure.

Results
For the volume, the calculation gives 28.612 A^3/atom. The offset from the most stable computed form comes out at 0.0 meV per atom. For the total magnetization, the calculation gives 3.118 μB per cell. The formation enthalpy at 0 K is 482 meV per atom.

a b c (Å): 5.230 5.230 5.230
angles (deg): 90.00 90.00 90.00
Space group Pm-3m (No. 221)
One atom of each set of equivalent atoms:
K (0.000, 0.000, 0.000) (multiplicity 1)
Ti (0.500, 0.500, 0.500) (multiplicity 1)
Zn (0.000, 0.500, 0.500) (multiplicity 3)

***

Entry 4:
The following is a DFT calculation (PBE) of a geometry-optimized Ru2AuF structure.

Results
For the volume, the calculation gives 15.424 A^3/atom. The offset from the most stable computed form comes out at 72.8 meV per atom. For the total magnetization, the calculation gives 21.079 μB per cell. As for the formation energy without anion corrections: 593 meV per atom.

a b c (Å): 6.272 6.272 6.272
angles (deg): 90.00 90.00 90.00
Space group Fm-3m (No. 225)
One atom of each set of equivalent atoms:
Ru (0.250, 0.250, 0.250) (multiplicity 8)
Au (0.000, 0.000, 0.000) (multiplicity 4)
F (0.000, 0.000, 0.500) (multiplicity 4)

***

Entry 5:
The following is a DFT calculation (PBE) of a geometry-optimized La2NiAs structure.

Results
For the volume, the calculation gives 27.450 A^3/atom. For the total magnetization, the calculation gives 0.000 μB per cell. The formation enthalpy at 0 K is -779 meV per atom.

a b c (Å): 7.311 4.213 7.523
angles (deg): 90.00 108.61 90.00
Space group C2/m (No. 12)
One atom of each set of equivalent atoms:
La (0.248, 0.000, 0.241) (multiplicity 4)
Ni (0.000, 0.500, 0.000) (multiplicity 2)
As (0.000, 0.000, 0.500) (multiplicity 2)

***

Entry 6:
The following is a DFT calculation (PBE) of a geometry-optimized TiMnPOsS structure.

Results
For the volume, the calculation gives 14.047 A^3/atom. The offset from the most stable computed form comes out at 59.3 meV per atom. For the total magnetization, the calculation gives 6.043 μB per cell. As for the formation energy without anion corrections: -472 meV per atom.

a b c (Å): 3.000 3.028 15.463
angles (deg): 90.00 90.00 90.00
Space group Amm2 (No. 38)
One atom of each set of equivalent atoms:
Ti (0.000, 0.000, 0.000) (multiplicity 2)
Mn (0.500, 0.000, 0.812) (multiplicity 2)
P (0.000, 0.000, 0.212) (multiplicity 2)
Os (0.500, 0.000, 0.635) (multiplicity 2)
S (0.500, 0.000, 0.428) (multiplicity 2)